(1)
# PrTlHgSe3

An optimized crystal structure of PrTlHgSe3 (PBE, Alexandria via LeMat-Bulk).

```
PrTlHgSe3
1.0
-2.9940 3.1986 0.0262
-6.5598 -6.1466 0.7796
2.5394 2.2986 9.5464
Hg Pr Se Tl
2 2 6 2
direct
0.7500 0.9069 0.3869
0.2500 0.0931 0.6131
0.2500 0.6759 0.1430
0.7500 0.3241 0.8570
0.2500 0.5462 0.8445
0.2500 0.0997 0.8780
0.7500 0.2268 0.5331
0.7500 0.4538 0.1555
0.2500 0.7732 0.4669
0.7500 0.9003 0.1220
0.7500 0.7898 0.7824
0.2500 0.2102 0.2176
```

## Properties
raw formation energy: -0.931 eV per atom
calculated volume: 193.85 Å³/f.u.
SG: P2_1/m
ρ: 6.705 Mg/m³
total DFT energy (no corrections): -3.914 eV per atom

(2)
# PrTl2Hg2Se4

An optimized crystal structure of PrTl2Hg2Se4 (PBE, Alexandria via LeMat-Bulk).

```
PrTl2Hg2Se4
1.0
-0.6478 -3.1150 -2.8939
7.2720 1.8698 -3.6404
0.8605 -4.0929 7.4090
Se Tl Pr Hg
4 2 1 2
direct
0.5228 0.7697 0.0457
0.8027 0.7513 0.6053
0.1973 0.2487 0.3947
0.4772 0.2303 0.9543
0.1217 0.5519 0.2435
0.8783 0.4481 0.7565
0.0000 0.0000 0.0000
0.6928 0.0312 0.3857
0.3072 0.9688 0.6143
```

## Properties
raw formation energy: -0.641 eV per atom
calculated volume: 269.06 Å³/f.u.
SG: C2/m
N(E_F): 3.90 states/eV/cell
ρ: 7.818 Mg/m³
total DFT energy (no corrections): -3.314 eV per atom

(3)
# PrSiHg

An optimized crystal structure of PrSiHg (PBE, Alexandria via LeMat-Bulk).

```
PrSiHg
1.0
3.9958 0.0000 0.0000
0.0000 4.2644 0.0000
0.0000 2.1322 8.5295
Hg Pr Si
2 2 2
direct
0.2500 0.7097 0.5806
0.7500 0.2903 0.4194
0.2500 0.9016 0.1968
0.7500 0.0984 0.8032
0.7500 0.4613 0.0775
0.2500 0.5387 0.9225
```

## Properties
raw formation energy: -0.555 eV per atom
calculated volume: 72.67 Å³/f.u.
SG: Cmcm
N(E_F): 2.63 states/eV/cell
ρ: 8.445 Mg/m³
total DFT energy (no corrections): -4.057 eV per atom

(4)
# Pr5SiHg2

An optimized crystal structure of Pr5SiHg2 (PBE, Alexandria via LeMat-Bulk).

```
Pr5SiHg2
1.0
-3.1279 -4.2356 0.4236
3.7008 -3.2127 -4.7964
7.8373 -4.8575 9.3009
Pr Hg Si
10 4 2
direct
0.5000 0.3500 0.5970
0.0000 0.5000 0.0000
0.0000 0.8464 0.2133
0.0000 0.0000 0.5000
0.5000 0.8500 0.9030
0.5000 0.6500 0.4030
0.0000 0.6536 0.7133
0.0000 0.1536 0.7867
0.0000 0.3464 0.2867
0.5000 0.1500 0.0970
0.5000 0.8989 0.6524
0.5000 0.3989 0.8476
0.5000 0.6011 0.1524
0.5000 0.1011 0.3476
0.0000 0.5000 0.5000
0.0000 0.0000 0.0000
```

## Properties
raw formation energy: -0.387 eV per atom
calculated volume: 237.20 Å³/f.u.
SG: Pbam
N(E_F): 16.90 states/eV/cell
ρ: 7.937 Mg/m³
total DFT energy (no corrections): -4.127 eV per atom

(5)
# Pr12SiHg6

An optimized crystal structure of Pr12SiHg6 (PBE, Alexandria via LeMat-Bulk).

```
Pr12SiHg6
1.0
-2.6148 5.1675 -6.2303
5.8180 -3.8700 -4.8510
-6.0027 -5.8327 -1.5179
Pr Hg Si
12 6 1
direct
0.9718 0.0931 0.3247
0.5636 0.4604 0.8037
0.5396 0.1963 0.4364
0.3247 0.9718 0.0931
0.1963 0.4364 0.5396
0.6753 0.0282 0.9069
0.4364 0.5396 0.1963
0.0282 0.9069 0.6753
0.0931 0.3247 0.9718
0.9069 0.6753 0.0282
0.4604 0.8037 0.5636
0.8037 0.5636 0.4604
0.8544 0.2577 0.6645
0.6645 0.8544 0.2577
0.1456 0.7423 0.3355
0.3355 0.1456 0.7423
0.7423 0.3355 0.1456
0.2577 0.6645 0.8544
0.0000 0.0000 0.0000
```

## Properties
raw formation energy: -0.262 eV per atom
calculated volume: 610.89 Å³/f.u.
SG: R-3
N(E_F): 21.30 states/eV/cell
ρ: 7.944 Mg/m³
total DFT energy (no corrections): -3.662 eV per atom

(6)
# PrSiHg

An optimized crystal structure of PrSiHg (PBE, Alexandria via LeMat-Bulk).

```
PrSiHg
1.0
3.9525 0.0000 -0.2308
0.0000 4.5036 0.0000
-1.9888 -2.2518 8.2856
Hg Pr Si
2 2 2
direct
0.8745 0.2882 0.5764
0.1255 0.7118 0.4236
0.3726 0.0993 0.1986
0.6274 0.9007 0.8014
0.8044 0.5429 0.0859
0.1956 0.4571 0.9141
```

## Properties
raw formation energy: -0.557 eV per atom
calculated volume: 72.71 Å³/f.u.
SG: C2/m
N(E_F): 2.78 states/eV/cell
ρ: 8.441 Mg/m³
total DFT energy (no corrections): -4.059 eV per atom

(7)
# Pr6Si2Hg

An optimized crystal structure of Pr6Si2Hg (PBE, Alexandria via LeMat-Bulk).

```
Pr6Si2Hg
1.0
-6.6958 0.8650 5.7478
-2.9332 0.1465 -8.3662
4.0714 -7.7797 1.2324
Pr Si Hg
12 4 2
direct
0.2948 0.6180 0.3232
0.2948 0.9716 0.6768
0.4520 0.2731 0.1788
0.2036 0.2466 0.4501
0.5480 0.7269 0.8212
0.9057 0.7269 0.1788
0.7052 0.0284 0.3232
0.7964 0.7534 0.5499
0.0943 0.2731 0.8212
0.2036 0.7534 0.9570
0.7052 0.3820 0.6768
0.7964 0.2466 0.0430
0.5000 0.6136 0.1136
0.6296 0.0000 0.6296
0.5000 0.3864 0.8864
0.3704 0.0000 0.3704
0.0000 0.5000 0.5000
0.0000 0.0000 0.0000
```

## Properties
raw formation energy: -0.446 eV per atom
calculated volume: 268.00 Å³/f.u.
SG: Immm
N(E_F): 17.91 states/eV/cell
ρ: 6.829 Mg/m³
total DFT energy (no corrections): -4.871 eV per atom

(8)
# PrSiHg

An optimized crystal structure of PrSiHg (PBE, Alexandria via LeMat-Bulk).

```
PrSiHg
1.0
-2.5370 -2.1771 2.7360
3.3911 -0.4585 2.7796
-2.6573 3.5029 0.3234
Pr Si Hg
1 1 1
direct
0.6679 0.6667 0.3333
0.1539 0.0000 0.0000
0.1782 0.3333 0.6667
```

## Properties
raw formation energy: -0.469 eV per atom
calculated volume: 72.71 Å³/f.u.
SG: P3m1
N(E_F): 1.45 states/eV/cell
ρ: 8.440 Mg/m³
total DFT energy (no corrections): -3.970 eV per atom

(9)
# PrSmSiHg

An optimized crystal structure of PrSmSiHg (PBE, Alexandria via LeMat-Bulk).

```
PrSmSiHg
1.0
-3.5667 -1.7943 -3.4381
0.5428 -4.8049 -2.0928
-3.2920 -3.8693 1.3972
Hg Si Pr Sm
1 1 1 1
direct
0.2500 0.2500 0.2500
0.7500 0.7500 0.7500
0.0000 0.0000 0.0000
0.5000 0.5000 0.5000
```

## Properties
raw formation energy: -0.462 eV per atom
calculated volume: 103.43 Å³/f.u.
SG: F-43m
N(E_F): 3.19 states/eV/cell
ρ: 8.348 Mg/m³
total DFT energy (no corrections): -4.267 eV per atom

(10)
# SrPrSiHg

An optimized crystal structure of SrPrSiHg (PBE, Alexandria via LeMat-Bulk).

```
SrPrSiHg
1.0
-1.1300 -2.4144 -4.7072
3.7741 -0.2922 -3.8646
2.2678 -4.7595 -1.2116
Si Pr Sr Hg
1 1 1 1
direct
0.7500 0.7500 0.7500
0.0000 0.0000 0.0000
0.5000 0.5000 0.5000
0.2500 0.2500 0.2500
```

## Properties
raw formation energy: -0.383 eV per atom
calculated volume: 111.94 Å³/f.u.
SG: F-43m
N(E_F): 3.48 states/eV/cell
ρ: 6.782 Mg/m³
total DFT energy (no corrections): -3.430 eV per atom

(11)
# TbPrSiHg

An optimized crystal structure of TbPrSiHg (PBE, Alexandria via LeMat-Bulk).

```
TbPrSiHg
1.0
5.2280 0.0000 0.0000
2.6140 4.5276 0.0000
2.6140 1.5092 4.2687
Si Hg Tb Pr
1 1 1 1
direct
0.7500 0.7500 0.7500
0.2500 0.2500 0.2500
0.5000 0.5000 0.5000
0.0000 0.0000 0.0000
```

## Properties
raw formation energy: -0.456 eV per atom
calculated volume: 101.04 Å³/f.u.
SG: F-43m
N(E_F): 3.23 states/eV/cell
ρ: 8.686 Mg/m³
total DFT energy (no corrections): -4.240 eV per atom

(12)
# Pr6Si2HgTe3

An optimized crystal structure of Pr6Si2HgTe3 (PBE, Alexandria via LeMat-Bulk).

```
Pr6Si2HgTe3
1.0
4.4094 0.0000 0.0000
0.0000 9.0555 0.2550
-2.2047 -2.6801 9.3649
Pr Si Te Hg
6 2 3 1
direct
0.9915 0.7408 0.9830
0.6730 0.5681 0.3460
0.0085 0.2592 0.0170
0.3270 0.4319 0.6540
0.6698 0.1067 0.3397
0.3302 0.8933 0.6603
0.8332 0.6668 0.6663
0.1668 0.3332 0.3337
0.5000 0.5000 0.0000
0.1637 0.8332 0.3274
0.8363 0.1668 0.6726
0.5000 0.0000 0.0000
```

## Properties
raw formation energy: -1.044 eV per atom
calculated volume: 376.95 Å³/f.u.
SG: C2/m
N(E_F): 7.19 states/eV/cell
ρ: 6.542 Mg/m³
total DFT energy (no corrections): -5.148 eV per atom